1.
Crystalline GdDyNi2Pb at its relaxed geometry. Source: OQMD via LeMat-Bulk, functional GGA-PBE.

Calculated values
Electronic total energy in Ha/atom: -0.1959

CIF file:
```
data_GdDyNi2Pb
_chemical_formula_sum 'Gd2 Dy2 Ni4 Pb2'
_cell_length_a 3.698
_cell_length_b 3.988
_cell_length_c 14.290
_cell_angle_alpha 90.00
_cell_angle_beta 90.00
_cell_angle_gamma 90.00
_symmetry_space_group_name_H-M 'A m m 2'
_symmetry_Int_Tables_number 38
_symmetry_space_group_name_Hall 'A 2 -2'
loop_
_atom_site_label
_atom_site_type_symbol
_atom_site_fract_x
_atom_site_fract_y
_atom_site_fract_z
Gd1 Gd 0.000 0.000 0.000
Dy1 Dy 0.000 0.000 0.721
Ni1 Ni 0.500 0.000 0.160
Ni2 Ni 0.500 0.000 0.563
Pb1 Pb 0.500 0.000 0.360
```

2.
Crystalline TbAlPbS3 at its relaxed geometry. Source: OQMD via LeMat-Bulk, functional GGA-PBE.

Calculated values
Electronic total energy in Ha/atom: -0.1887

CIF file:
```
data_TbAlPbS3
_chemical_formula_sum 'Tb4 Al4 Pb4 S12'
_cell_length_a 3.836
_cell_length_b 14.486
_cell_length_c 10.636
_cell_angle_alpha 90.00
_cell_angle_beta 90.00
_cell_angle_gamma 90.00
_symmetry_space_group_name_H-M 'C m c m'
_symmetry_Int_Tables_number 63
_symmetry_space_group_name_Hall '-C 2c 2'
loop_
_atom_site_label
_atom_site_type_symbol
_atom_site_fract_x
_atom_site_fract_y
_atom_site_fract_z
Tb1 Tb 0.000 0.000 0.000
Al1 Al 0.000 0.371 0.250
Pb1 Pb 0.000 0.301 0.750
S1 S 0.000 0.026 0.750
S2 S 0.000 0.366 0.016
```

3.
Crystalline TbHo2Co9 at its relaxed geometry. Source: OQMD via LeMat-Bulk, functional GGA-PBE.

Calculated values
Energy relative to the elements in eV/atom: -0.182

CIF file:
```
data_TbHo2Co9
_chemical_formula_sum 'Tb3 Ho6 Co27'
_cell_length_a 4.9510
_cell_length_b 4.9510
_cell_length_c 24.1713
_cell_angle_alpha 90.00
_cell_angle_beta 90.00
_cell_angle_gamma 120.00
_symmetry_space_group_name_H-M 'R -3 m'
_symmetry_Int_Tables_number 166
_symmetry_space_group_name_Hall '-R 3 2"'
loop_
_atom_site_label
_atom_site_type_symbol
_atom_site_fract_x
_atom_site_fract_y
_atom_site_fract_z
Tb1 Tb 0.0000 0.0000 0.0000
Ho1 Ho 0.0000 0.0000 0.1399
Co1 Co 0.0000 0.0000 0.3349
Co2 Co 0.0000 0.0000 0.5000
Co3 Co 0.0032 0.5016 0.9184
```

4.
Crystalline TbTmH2O4 at its relaxed geometry. Source: OQMD via LeMat-Bulk, functional GGA-PBE.

Calculated values
Electronic total energy in Ha/atom: -0.2619

CIF file:
```
data_TbTmH2O4
_chemical_formula_sum 'Tb1 Tm1 H2 O4'
_cell_length_a 4.271
_cell_length_b 3.580
_cell_length_c 5.900
_cell_angle_alpha 90.00
_cell_angle_beta 109.34
_cell_angle_gamma 90.00
_symmetry_space_group_name_H-M 'P 1 m 1'
_symmetry_Int_Tables_number 6
_symmetry_space_group_name_Hall 'P -2y'
loop_
_atom_site_label
_atom_site_type_symbol
_atom_site_fract_x
_atom_site_fract_y
_atom_site_fract_z
Tb1 Tb 0.000 0.000 0.000
Tm1 Tm 0.332 0.500 0.620
H1 H 0.661 0.000 0.409
H2 H 0.683 0.500 0.243
O1 O 0.422 0.000 0.377
O2 O 0.430 0.000 0.856
O3 O 0.896 0.500 0.751
O4 O 0.915 0.500 0.253
```